Density functional theory data (PBEsol) for an optimized crystal structure of Cd2HgW.

Values from the calculation:
DFT total energy ... -3.62 eV/atom
Energy of formation from the pure elements ... 576 meV/atom
DOS(E_F) ... 1.94 states/eV per cell

Cell and atoms, written as CIF:
```
data_Cd2HgW
_chemical_formula_sum 'Cd2 Hg1 W1'
_cell_length_a 4.161
_cell_length_b 4.161
_cell_length_c 4.223
_cell_angle_alpha 90.00
_cell_angle_beta 90.00
_cell_angle_gamma 90.00
_symmetry_space_group_name_H-M 'P 4/m m m'
_symmetry_Int_Tables_number 123
_symmetry_space_group_name_Hall '-P 4 2'
loop_
_atom_site_label
_atom_site_type_symbol
_atom_site_fract_x
_atom_site_fract_y
_atom_site_fract_z
Cd1 Cd 0.000 0.500 0.000
Hg1 Hg 0.000 0.000 0.500
W1 W 0.500 0.500 0.500
```

Density functional theory data (PBEsol) for an optimized crystal structure of Cd2HgW.

Values from the calculation:
DFT total energy ... -3.73 eV/atom
Energy of formation from the pure elements ... 465 meV/atom
DOS(E_F) ... 2.78 states/eV per cell

Cell and atoms, written as CIF:
```
data_Cd2HgW
_chemical_formula_sum 'Cd4 Hg2 W2'
_cell_length_a 5.832
_cell_length_b 8.826
_cell_length_c 2.880
_cell_angle_alpha 90.00
_cell_angle_beta 90.00
_cell_angle_gamma 90.00
_symmetry_space_group_name_H-M 'C m m m'
_symmetry_Int_Tables_number 65
_symmetry_space_group_name_Hall '-C 2 2'
loop_
_atom_site_label
_atom_site_type_symbol
_atom_site_fract_x
_atom_site_fract_y
_atom_site_fract_z
Cd1 Cd 0.250 0.250 0.000
Hg1 Hg 0.000 0.000 0.500
W1 W 0.000 0.500 0.500
```

Density functional theory data (PBEsol) for an optimized crystal structure of Y4CdHg.

Values from the calculation:
DFT total energy ... -4.57 eV/atom
Energy of formation from the pure elements ... 275 meV/atom
DOS(E_F) ... 29.43 states/eV per cell

Cell and atoms, written as CIF:
```
data_Y4CdHg
_chemical_formula_sum 'Y16 Cd4 Hg4'
_cell_length_a 8.711
_cell_length_b 8.711
_cell_length_c 8.711
_cell_angle_alpha 90.00
_cell_angle_beta 90.00
_cell_angle_gamma 90.00
_symmetry_space_group_name_H-M 'F -4 3 m'
_symmetry_Int_Tables_number 216
_symmetry_space_group_name_Hall 'F -4 2 3'
loop_
_atom_site_label
_atom_site_type_symbol
_atom_site_fract_x
_atom_site_fract_y
_atom_site_fract_z
Y1 Y 0.125 0.125 0.125
Cd1 Cd 0.250 0.250 0.750
Hg1 Hg 0.000 0.000 0.500
```

Density functional theory data (PBEsol) for an optimized crystal structure of YCdHg4.

Values from the calculation:
DFT total energy ... -1.82 eV/atom
Energy of formation from the pure elements ... -106 meV/atom
DOS(E_F) ... 11.34 states/eV per cell

Cell and atoms, written as CIF:
```
data_YCdHg4
_chemical_formula_sum 'Y4 Cd4 Hg16'
_cell_length_a 8.230
_cell_length_b 8.230
_cell_length_c 8.230
_cell_angle_alpha 90.00
_cell_angle_beta 90.00
_cell_angle_gamma 90.00
_symmetry_space_group_name_H-M 'F -4 3 m'
_symmetry_Int_Tables_number 216
_symmetry_space_group_name_Hall 'F -4 2 3'
loop_
_atom_site_label
_atom_site_type_symbol
_atom_site_fract_x
_atom_site_fract_y
_atom_site_fract_z
Y1 Y 0.000 0.000 0.000
Cd1 Cd 0.250 0.250 0.250
Hg1 Hg 0.125 0.125 0.625
```

Density functional theory data (PBEsol) for an optimized crystal structure of ZnCd2Hg.

Values from the calculation:
DFT total energy ... -1.07 eV/atom
Energy of formation from the pure elements ... 64 meV/atom
DOS(E_F) ... 2.06 states/eV per cell

Cell and atoms, written as CIF:
```
data_ZnCd2Hg
_chemical_formula_sum 'Zn2 Cd4 Hg2'
_cell_length_a 5.929
_cell_length_b 8.490
_cell_length_c 3.138
_cell_angle_alpha 90.00
_cell_angle_beta 90.00
_cell_angle_gamma 90.00
_symmetry_space_group_name_H-M 'C m m m'
_symmetry_Int_Tables_number 65
_symmetry_space_group_name_Hall '-C 2 2'
loop_
_atom_site_label
_atom_site_type_symbol
_atom_site_fract_x
_atom_site_fract_y
_atom_site_fract_z
Zn1 Zn 0.000 0.000 0.000
Cd1 Cd 0.250 0.250 0.500
Hg1 Hg 0.000 0.500 0.000
```

Density functional theory data (PBEsol) for an optimized crystal structure of Zn4CdHg.

Values from the calculation:
DFT total energy ... -1.28 eV/atom
Energy of formation from the pure elements ... 67 meV/atom
DOS(E_F) ... 7.10 states/eV per cell

Cell and atoms, written as CIF:
```
data_Zn4CdHg
_chemical_formula_sum 'Zn16 Cd4 Hg4'
_cell_length_a 7.356
_cell_length_b 7.356
_cell_length_c 7.356
_cell_angle_alpha 90.00
_cell_angle_beta 90.00
_cell_angle_gamma 90.00
_symmetry_space_group_name_H-M 'F -4 3 m'
_symmetry_Int_Tables_number 216
_symmetry_space_group_name_Hall 'F -4 2 3'
loop_
_atom_site_label
_atom_site_type_symbol
_atom_site_fract_x
_atom_site_fract_y
_atom_site_fract_z
Zn1 Zn 0.125 0.125 0.125
Cd1 Cd 0.000 0.000 0.500
Hg1 Hg 0.250 0.250 0.750
```

Density functional theory data (PBEsol) for an optimized crystal structure of Zn2CdHg.

Values from the calculation:
DFT total energy ... -1.15 eV/atom
Energy of formation from the pure elements ... 77 meV/atom
DOS(E_F) ... 1.33 states/eV per cell

Cell and atoms, written as CIF:
```
data_Zn2CdHg
_chemical_formula_sum 'Zn2 Cd1 Hg1'
_cell_length_a 2.894
_cell_length_b 3.907
_cell_length_c 6.379
_cell_angle_alpha 90.00
_cell_angle_beta 90.00
_cell_angle_gamma 90.00
_symmetry_space_group_name_H-M 'P m m 2'
_symmetry_Int_Tables_number 25
_symmetry_space_group_name_Hall 'P 2 -2'
loop_
_atom_site_label
_atom_site_type_symbol
_atom_site_fract_x
_atom_site_fract_y
_atom_site_fract_z
Zn1 Zn 0.000 0.000 0.000
Zn2 Zn 0.500 0.500 0.194
Cd1 Cd 0.000 0.000 0.448
Hg1 Hg 0.500 0.500 0.742
```

Density functional theory data (PBEsol) for an optimized crystal structure of ZnCdHg2.

Values from the calculation:
DFT total energy ... -0.92 eV/atom
Energy of formation from the pure elements ... 60 meV/atom
DOS(E_F) ... 1.25 states/eV per cell

Cell and atoms, written as CIF:
```
data_ZnCdHg2
_chemical_formula_sum 'Zn1 Cd1 Hg2'
_cell_length_a 3.072
_cell_length_b 3.072
_cell_length_c 8.510
_cell_angle_alpha 90.00
_cell_angle_beta 90.00
_cell_angle_gamma 90.00
_symmetry_space_group_name_H-M 'P 4 m m'
_symmetry_Int_Tables_number 99
_symmetry_space_group_name_Hall 'P 4 -2'
loop_
_atom_site_label
_atom_site_type_symbol
_atom_site_fract_x
_atom_site_fract_y
_atom_site_fract_z
Zn1 Zn 0.000 0.000 0.000
Cd1 Cd 0.500 0.500 0.223
Hg1 Hg 0.000 0.000 0.491
Hg2 Hg 0.500 0.500 0.773
```

Density functional theory data (PBEsol) for an optimized crystal structure of ZnCdHg2.

Values from the calculation:
DFT total energy ... -0.92 eV/atom
Energy of formation from the pure elements ... 56 meV/atom
DOS(E_F) ... 3.06 states/eV per cell

Cell and atoms, written as CIF:
```
data_ZnCdHg2
_chemical_formula_sum 'Zn2 Cd2 Hg4'
_cell_length_a 5.401
_cell_length_b 3.361
_cell_length_c 9.115
_cell_angle_alpha 90.00
_cell_angle_beta 100.43
_cell_angle_gamma 90.00
_symmetry_space_group_name_H-M 'C 1 m 1'
_symmetry_Int_Tables_number 8
_symmetry_space_group_name_Hall 'C -2y'
loop_
_atom_site_label
_atom_site_type_symbol
_atom_site_fract_x
_atom_site_fract_y
_atom_site_fract_z
Zn1 Zn 0.000 0.000 0.000
Cd1 Cd 0.236 0.500 0.232
Hg1 Hg 0.264 0.000 0.770
Hg2 Hg 0.494 0.000 0.498
```

Density functional theory data (PBEsol) for an optimized crystal structure of ZnCd2Hg.

Values from the calculation:
DFT total energy ... -1.08 eV/atom
Energy of formation from the pure elements ... 60 meV/atom
DOS(E_F) ... 2.61 states/eV per cell

Cell and atoms, written as CIF:
```
data_ZnCd2Hg
_chemical_formula_sum 'Zn2 Cd4 Hg2'
_cell_length_a 2.846
_cell_length_b 5.297
_cell_length_c 10.629
_cell_angle_alpha 90.00
_cell_angle_beta 90.00
_cell_angle_gamma 90.00
_symmetry_space_group_name_H-M 'I m m 2'
_symmetry_Int_Tables_number 44
_symmetry_space_group_name_Hall 'I 2 -2'
loop_
_atom_site_label
_atom_site_type_symbol
_atom_site_fract_x
_atom_site_fract_y
_atom_site_fract_z
Zn1 Zn 0.000 0.000 0.000
Cd1 Cd 0.000 0.000 0.496
Cd2 Cd 0.000 0.500 0.729
Hg1 Hg 0.000 0.500 0.267
```

Density functional theory data (PBEsol) for an optimized crystal structure of ZnCd2Hg.

Values from the calculation:
DFT total energy ... -1.08 eV/atom
Energy of formation from the pure elements ... 58 meV/atom
DOS(E_F) ... 2.43 states/eV per cell

Cell and atoms, written as CIF:
```
data_ZnCd2Hg
_chemical_formula_sum 'Zn2 Cd4 Hg2'
_cell_length_a 4.253
_cell_length_b 4.253
_cell_length_c 8.667
_cell_angle_alpha 90.00
_cell_angle_beta 90.00
_cell_angle_gamma 90.00
_symmetry_space_group_name_H-M 'I -4 m 2'
_symmetry_Int_Tables_number 119
_symmetry_space_group_name_Hall 'I -4 -2'
loop_
_atom_site_label
_atom_site_type_symbol
_atom_site_fract_x
_atom_site_fract_y
_atom_site_fract_z
Zn1 Zn 0.000 0.000 0.000
Cd1 Cd 0.000 0.000 0.500
Cd2 Cd 0.000 0.500 0.250
Hg1 Hg 0.000 0.500 0.750
```

Density functional theory data (PBEsol) for an optimized crystal structure of ZnCdHg2.

Values from the calculation:
DFT total energy ... -0.93 eV/atom
Energy of formation from the pure elements ... 47 meV/atom
DOS(E_F) ... 1.35 states/eV per cell

Cell and atoms, written as CIF:
```
data_ZnCdHg2
_chemical_formula_sum 'Zn1 Cd1 Hg2'
_cell_length_a 3.763
_cell_length_b 3.830
_cell_length_c 5.630
_cell_angle_alpha 90.00
_cell_angle_beta 90.00
_cell_angle_gamma 90.00
_symmetry_space_group_name_H-M 'P m m 2'
_symmetry_Int_Tables_number 25
_symmetry_space_group_name_Hall 'P 2 -2'
loop_
_atom_site_label
_atom_site_type_symbol
_atom_site_fract_x
_atom_site_fract_y
_atom_site_fract_z
Zn1 Zn 0.000 0.000 0.000
Cd1 Cd 0.500 0.500 0.735
Hg1 Hg 0.000 0.000 0.501
Hg2 Hg 0.500 0.500 0.223
```